Below is NaTlHgGe after structural relaxation, with properties calculated at the GGA-PBE level.

Lattice parameters (Å, degrees): 5.1581 5.1581 5.1581 60.00 60.00 60.00
Positions (direct):
Na: 0.0000 0.0000 0.0000
Tl: 0.7500 0.7500 0.7500
Hg: 0.2500 0.2500 0.2500
Ge: 0.5000 0.5000 0.5000

Properties
space group	F-43m
E_form	0.013	eV per atom



Below is TeP4 after structural relaxation, with properties calculated at the GGA-PBE level.

Lattice parameters (Å, degrees): 5.0221 5.0221 5.0221 90.00 90.00 90.00
Positions (direct):
Te: 0.0000 0.0000 0.0000
P: 0.0000 0.0000 0.5000
P: 0.0000 0.5000 0.0000
P: 0.5000 0.0000 0.0000
P: 0.5000 0.5000 0.5000

Properties
E_form (uncorrected)	1.729	eV/atom
space group	Pm-3m



Below is NdSm2Tl3Te6 after structural relaxation, with properties calculated at the GGA-PBE level.

Lattice parameters (Å, degrees): 7.8647 7.8647 8.5896 98.78 98.78 120.00
Positions (direct):
Nd: 0.0000 0.0000 0.0000
Sm: 0.3333 0.6667 0.0000
Sm: 0.6667 0.3333 0.0000
Tl: 0.1661 0.8339 0.5000
Tl: 0.5000 0.5000 0.5000
Tl: 0.8339 0.1661 0.5000
Te: 0.0731 0.4092 0.2191
Te: 0.2633 0.2633 0.7816
Te: 0.4092 0.0731 0.2191
Te: 0.5908 0.9269 0.7809
Te: 0.7367 0.7367 0.2184
Te: 0.9269 0.5908 0.7809

Properties
E_form (uncorrected)	-1.072	eV/atom
space group	C2/m



Across the entries above, VASP energy takes the values -2.138; -3.228; -4.418 eV per atom, respectively.